(1)
DFT (PBE-GGA) results for a relaxed structure of Sm3Cd3Hg2.

Cell: 9.617 9.617 4.998 Å, 104.91 104.91 27.82°
Atoms (fractional coordinates):
Sm: 0.000 0.000 0.000
Sm: 0.138 0.138 0.638
Sm: 0.862 0.862 0.362
Cd: 0.369 0.369 0.869
Cd: 0.500 0.500 0.500
Cd: 0.631 0.631 0.131
Hg: 0.244 0.244 0.244
Hg: 0.756 0.756 0.756

Output
As for the density: 9.50 g cm⁻³. As for the space group: C2/m (12). The calculated formation energy comes out at -0.3279 eV per atom.

***

(2)
DFT (PBE-GGA) results for a relaxed structure of Sm8Cd2Hg.

Cell: 8.693 8.693 8.690 Å, 119.54 119.54 36.58°
Atoms (fractional coordinates):
Sm: 0.070 0.070 0.220
Sm: 0.136 0.136 0.684
Sm: 0.320 0.320 0.552
Sm: 0.409 0.409 0.052
Sm: 0.591 0.591 0.948
Sm: 0.680 0.680 0.448
Sm: 0.864 0.864 0.316
Sm: 0.930 0.930 0.780
Cd: 0.228 0.228 0.117
Cd: 0.772 0.772 0.883
Hg: 0.500 0.500 0.500

Output
As for the density: 8.08 g cm⁻³. As for the space group: C2/m (12). The calculated formation energy comes out at -0.1843 eV per atom.

***

(3)
DFT (PBE-GGA) results for a relaxed structure of Sm4Cd2Hg3.

Cell: 5.671 5.671 9.614 Å, 101.06 101.06 53.32°
Atoms (fractional coordinates):
Sm: 0.049 0.049 0.336
Sm: 0.350 0.350 0.098
Sm: 0.650 0.650 0.902
Sm: 0.951 0.951 0.664
Cd: 0.283 0.283 0.745
Cd: 0.717 0.717 0.255
Hg: 0.000 0.000 0.000
Hg: 0.359 0.359 0.430
Hg: 0.641 0.641 0.570

Output
As for the density: 9.79 g cm⁻³. As for the space group: C2/m (12). The calculated formation energy comes out at -0.3376 eV per atom.

***

(4)
DFT (PBE-GGA) results for a relaxed structure of SmCd3Hg.

Cell: 9.440 4.353 12.221 Å, 90.00 90.00 90.00°
Atoms (fractional coordinates):
Sm: 0.175 0.250 0.003
Sm: 0.325 0.750 0.503
Sm: 0.675 0.250 0.497
Sm: 0.825 0.750 0.997
Cd: 0.090 0.250 0.384
Cd: 0.094 0.750 0.200
Cd: 0.124 0.750 0.802
Cd: 0.376 0.250 0.302
Cd: 0.406 0.250 0.700
Cd: 0.410 0.750 0.884
Cd: 0.590 0.250 0.116
Cd: 0.594 0.750 0.300
Cd: 0.624 0.750 0.698
Cd: 0.876 0.250 0.198
Cd: 0.906 0.250 0.800
Cd: 0.910 0.750 0.616
Hg: 0.121 0.250 0.619
Hg: 0.379 0.750 0.119
Hg: 0.621 0.250 0.881
Hg: 0.879 0.750 0.381

Output
As for the density: 9.10 g cm⁻³. As for the space group: Pnma (62). The calculated formation energy comes out at -0.2050 eV per atom.

***

(5)
DFT (PBE-GGA) results for a relaxed structure of SmCd2Hg7.

Cell: 10.024 10.024 3.461 Å, 90.00 90.00 123.05°
Atoms (fractional coordinates):
Sm: 0.000 0.000 0.000
Cd: 0.329 0.671 0.500
Cd: 0.671 0.329 0.500
Hg: 0.128 0.320 0.500
Hg: 0.192 0.808 0.000
Hg: 0.320 0.128 0.500
Hg: 0.500 0.500 0.500
Hg: 0.680 0.872 0.500
Hg: 0.808 0.192 0.000
Hg: 0.872 0.680 0.500

Output
As for the density: 10.14 g cm⁻³. As for the space group: Cmmm (65). The calculated formation energy comes out at -0.0505 eV per atom.

***

(6)
DFT (PBE-GGA) results for a relaxed structure of Sm12CdHg6.

Cell: 9.109 9.109 9.109 Å, 110.97 110.97 110.97°
Atoms (fractional coordinates):
Sm: 0.079 0.725 0.166
Sm: 0.166 0.079 0.725
Sm: 0.192 0.475 0.340
Sm: 0.275 0.834 0.921
Sm: 0.340 0.192 0.475
Sm: 0.475 0.340 0.192
Sm: 0.525 0.660 0.808
Sm: 0.660 0.808 0.525
Sm: 0.725 0.166 0.079
Sm: 0.808 0.525 0.660
Sm: 0.834 0.921 0.275
Sm: 0.921 0.275 0.834
Cd: 0.000 0.000 0.000
Hg: 0.079 0.360 0.592
Hg: 0.360 0.592 0.079
Hg: 0.408 0.921 0.640
Hg: 0.592 0.079 0.360
Hg: 0.640 0.408 0.921
Hg: 0.921 0.640 0.408

Output
As for the density: 9.47 g cm⁻³. As for the space group: R-3 (148). The calculated formation energy comes out at -0.2108 eV per atom.

***

(7)
DFT (PBE-GGA) results for a relaxed structure of Sm3Cd2Hg8.

Cell: 11.642 11.642 11.642 Å, 30.18 30.18 30.18°
Atoms (fractional coordinates):
Sm: 0.000 0.000 0.000
Sm: 0.190 0.190 0.190
Sm: 0.810 0.810 0.810
Cd: 0.367 0.367 0.367
Cd: 0.633 0.633 0.633
Hg: 0.225 0.726 0.726
Hg: 0.274 0.274 0.775
Hg: 0.274 0.775 0.274
Hg: 0.284 0.284 0.284
Hg: 0.716 0.716 0.716
Hg: 0.726 0.225 0.726
Hg: 0.726 0.726 0.225
Hg: 0.775 0.274 0.274

Output
As for the density: 10.72 g cm⁻³. As for the space group: R-3m (166). The calculated formation energy comes out at -0.1097 eV per atom.

***

(8)
DFT (PBE-GGA) results for a relaxed structure of Sm2CdHg4.

Cell: 8.658 8.658 8.658 Å, 143.93 143.93 51.93°
Atoms (fractional coordinates):
Sm: 0.115 0.115 0.000
Sm: 0.885 0.885 0.000
Cd: 0.500 0.500 0.000
Hg: 0.000 0.500 0.500
Hg: 0.310 0.310 0.000
Hg: 0.500 0.000 0.500
Hg: 0.690 0.690 0.000

Output
As for the density: 9.02 g cm⁻³. As for the space group: I4/mmm (139). The calculated formation energy comes out at 0.0197 eV per atom.

***

(9)
DFT (PBE-GGA) results for a relaxed structure of Sm2CdHg8.

Cell: 9.214 9.214 6.843 Å, 108.06 108.06 30.58°
Atoms (fractional coordinates):
Sm: 0.211 0.211 0.193
Sm: 0.789 0.789 0.807
Cd: 0.500 0.500 0.500
Hg: 0.019 0.019 0.226
Hg: 0.166 0.166 0.685
Hg: 0.357 0.357 0.621
Hg: 0.385 0.385 0.086
Hg: 0.615 0.615 0.914
Hg: 0.643 0.643 0.379
Hg: 0.834 0.834 0.315
Hg: 0.981 0.981 0.774

Output
As for the density: 11.97 g cm⁻³. As for the space group: C2/m (12). The calculated formation energy comes out at -0.2299 eV per atom.

***

(10)
DFT (PBE-GGA) results for a relaxed structure of SmCd11Hg.

Cell: 7.657 7.657 7.651 Å, 98.84 98.84 133.57°
Atoms (fractional coordinates):
Sm: 0.000 0.000 0.000
Cd: 0.000 0.000 0.500
Cd: 0.000 0.500 0.000
Cd: 0.003 0.650 0.650
Cd: 0.284 0.497 0.788
Cd: 0.350 0.997 0.350
Cd: 0.497 0.284 0.788
Cd: 0.500 0.000 0.000
Cd: 0.503 0.716 0.212
Cd: 0.650 0.003 0.650
Cd: 0.716 0.503 0.212
Cd: 0.997 0.350 0.350
Hg: 0.500 0.500 0.500

Output
As for the density: 8.81 g cm⁻³. As for the space group: C2/m (12). The calculated formation energy comes out at -0.0896 eV per atom.

***

(11)
DFT (PBE-GGA) results for a relaxed structure of SmCdHg2.

Cell: 5.158 5.158 5.158 Å, 60.00 60.00 60.00°
Atoms (fractional coordinates):
Sm: 0.000 0.000 0.000
Cd: 0.500 0.500 0.500
Hg: 0.250 0.250 0.250
Hg: 0.750 0.750 0.750

Output
As for the density: 11.36 g cm⁻³. As for the space group: Fm-3m (225). The calculated formation energy comes out at -0.3930 eV per atom.

***

(12)
DFT (PBE-GGA) results for a relaxed structure of SmCd2Hg.

Cell: 5.139 5.139 5.139 Å, 60.00 60.00 60.00°
Atoms (fractional coordinates):
Sm: 0.000 0.000 0.000
Cd: 0.250 0.250 0.250
Cd: 0.750 0.750 0.750
Hg: 0.500 0.500 0.500

Output
As for the density: 9.96 g cm⁻³. As for the space group: Fm-3m (225). The calculated formation energy comes out at -0.2498 eV per atom.

***

(13)
DFT (PBE-GGA) results for a relaxed structure of SmCdHg.

Cell: 4.425 4.425 4.425 Å, 76.03 76.03 76.03°
Atoms (fractional coordinates):
Sm: 0.000 0.000 0.000
Cd: 0.353 0.353 0.353
Hg: 0.665 0.665 0.665

Output
As for the density: 9.61 g cm⁻³. As for the space group: R3m (160). The calculated formation energy comes out at -0.3048 eV per atom.

***

(14)
DFT (PBE-GGA) results for a relaxed structure of Sm7Cd2Hg2.

Cell: 6.828 6.828 8.095 Å, 90.00 90.00 110.22°
Atoms (fractional coordinates):
Sm: 0.000 0.000 0.000
Sm: 0.000 0.500 0.288
Sm: 0.000 0.500 0.712
Sm: 0.500 0.000 0.288
Sm: 0.500 0.000 0.712
Sm: 0.500 0.500 0.263
Sm: 0.500 0.500 0.737
Cd: 0.175 0.175 0.500
Cd: 0.825 0.825 0.500
Hg: 0.290 0.710 0.000
Hg: 0.710 0.290 0.000

Output
As for the density: 7.87 g cm⁻³. As for the space group: Cmmm (65). The calculated formation energy comes out at -0.0411 eV per atom.

***

(15)
DFT (PBE-GGA) results for a relaxed structure of Sm6CdHg2.

Cell: 8.946 8.946 8.946 Å, 111.51 109.10 107.82°
Atoms (fractional coordinates):
Sm: 0.048 0.825 0.223
Sm: 0.251 0.554 0.303
Sm: 0.251 0.948 0.697
Sm: 0.269 0.322 0.591
Sm: 0.269 0.678 0.947
Sm: 0.398 0.175 0.223
Sm: 0.602 0.825 0.777
Sm: 0.731 0.322 0.053
Sm: 0.731 0.678 0.409
Sm: 0.749 0.052 0.303
Sm: 0.749 0.446 0.697
Sm: 0.952 0.175 0.777
Cd: 0.000 0.500 0.500
Cd: 0.500 0.000 0.500
Hg: 0.000 0.150 0.150
Hg: 0.000 0.850 0.850
Hg: 0.363 0.363 0.000
Hg: 0.637 0.637 0.000

Output
As for the density: 8.54 g cm⁻³. As for the space group: Immm (71). The calculated formation energy comes out at -0.2256 eV per atom.

***

(16)
DFT (PBE-GGA) results for a relaxed structure of SmCdHg.

Cell: 3.731 3.731 11.415 Å, 90.00 90.06 90.00°
Atoms (fractional coordinates):
Sm: 0.250 0.250 0.111
Sm: 0.750 0.750 0.889
Cd: 0.251 0.250 0.427
Cd: 0.749 0.750 0.573
Hg: 0.249 0.250 0.724
Hg: 0.751 0.750 0.276

Output
As for the density: 9.68 g cm⁻³. As for the space group: P2_1/m (11). The calculated formation energy comes out at -0.1839 eV per atom.

***

(17)
DFT (PBE-GGA) results for a relaxed structure of SmCd5Hg6.

Cell: 7.466 7.466 8.760 Å, 90.29 90.29 143.91°
Atoms (fractional coordinates):
Sm: 0.000 0.000 0.000
Cd: 0.000 0.000 0.500
Cd: 0.328 0.672 0.000
Cd: 0.330 0.670 0.500
Cd: 0.670 0.330 0.500
Cd: 0.672 0.328 0.000
Hg: 0.165 0.831 0.254
Hg: 0.169 0.835 0.746
Hg: 0.499 0.499 0.740
Hg: 0.501 0.501 0.260
Hg: 0.831 0.165 0.254
Hg: 0.835 0.169 0.746

Output
As for the density: 11.06 g cm⁻³. As for the space group: C2/m (12). The calculated formation energy comes out at -0.1137 eV per atom.

***

(18)
DFT (PBE-GGA) results for a relaxed structure of SmCd4Hg4.

Cell: 6.676 6.676 10.118 Å, 90.00 90.00 90.00°
Atoms (fractional coordinates):
Sm: 0.250 0.750 0.250
Sm: 0.750 0.250 0.750
Cd: 0.037 0.250 0.189
Cd: 0.250 0.037 0.689
Cd: 0.250 0.463 0.689
Cd: 0.463 0.250 0.189
Cd: 0.537 0.750 0.811
Cd: 0.750 0.537 0.311
Cd: 0.750 0.963 0.311
Cd: 0.963 0.750 0.811
Hg: 0.002 0.750 0.519
Hg: 0.250 0.502 0.981
Hg: 0.250 0.998 0.981
Hg: 0.498 0.750 0.519
Hg: 0.502 0.250 0.481
Hg: 0.750 0.002 0.019
Hg: 0.750 0.498 0.019
Hg: 0.998 0.250 0.481

Output
As for the density: 10.33 g cm⁻³. As for the space group: P4_2/nmc (137). The calculated formation energy comes out at -0.0844 eV per atom.

***

(19)
DFT (PBE-GGA) results for a relaxed structure of Sm3Cd2Hg.

Cell: 3.807 3.807 11.422 Å, 90.00 90.00 90.00°
Atoms (fractional coordinates):
Sm: 0.000 0.000 0.000
Sm: 0.000 0.000 0.335
Sm: 0.000 0.000 0.665
Cd: 0.500 0.500 0.166
Cd: 0.500 0.500 0.834
Hg: 0.500 0.500 0.500

Output
As for the density: 8.79 g cm⁻³. As for the space group: P4/mmm (123). The calculated formation energy comes out at -0.3686 eV per atom.

***

(20)
DFT (PBE-GGA) results for a relaxed structure of SmCdHg3.

Cell: 5.103 5.141 9.638 Å, 90.00 105.10 90.00°
Atoms (fractional coordinates):
Sm: 0.151 0.250 0.302
Sm: 0.849 0.750 0.698
Cd: 0.349 0.250 0.697
Cd: 0.651 0.750 0.303
Hg: 0.049 0.750 0.093
Hg: 0.250 0.750 0.498
Hg: 0.447 0.750 0.898
Hg: 0.553 0.250 0.102
Hg: 0.750 0.250 0.502
Hg: 0.951 0.250 0.907

Output
As for the density: 11.76 g cm⁻³. As for the space group: P2_1/m (11). The calculated formation energy comes out at -0.3050 eV per atom.

***

(21)
DFT (PBE-GGA) results for a relaxed structure of Sm12Cd5Hg2.

Cell: 8.341 8.341 8.466 Å, 101.19 101.19 79.51°
Atoms (fractional coordinates):
Sm: 0.101 0.101 0.218
Sm: 0.120 0.669 0.106
Sm: 0.156 0.508 0.683
Sm: 0.331 0.880 0.894
Sm: 0.391 0.391 0.343
Sm: 0.492 0.844 0.317
Sm: 0.508 0.156 0.683
Sm: 0.609 0.609 0.657
Sm: 0.669 0.120 0.106
Sm: 0.844 0.492 0.317
Sm: 0.880 0.331 0.894
Sm: 0.899 0.899 0.782
Cd: 0.121 0.121 0.612
Cd: 0.267 0.267 0.972
Cd: 0.500 0.500 0.000
Cd: 0.733 0.733 0.028
Cd: 0.879 0.879 0.388
Hg: 0.234 0.766 0.500
Hg: 0.766 0.234 0.500

Output
As for the density: 8.20 g cm⁻³. As for the space group: C2/m (12). The calculated formation energy comes out at -0.1754 eV per atom.

***

Which spin magnetization belongs to each record? In order, 0.00 0.00 0.03 0.00 0.00 0.00 0.00 0.00 0.00 0.00 0.00 0.00 0.00 0.00 0.00 0.00 0.00 0.00 1.15 0.00 0.00 μB/cell.